Y2GeO5 | SCAN | PBEsol geometry

Summary:
As for the uncorrected formation energy: -25.71 eV/f.u. Its polymorph energy (0 for the lowest one) is 0.0 meV per atom. The space group is P2_1/c. Its density is 5.17 g/cm3.

abc: 9.283 6.892 6.728
angles: 90.00 99.41 90.00
Positions (direct):
Y 0.030 0.119 0.230
Y 0.030 0.381 0.730
Y 0.349 0.143 0.989
Y 0.349 0.357 0.489
Y 0.651 0.643 0.511
Y 0.651 0.857 0.011
Y 0.970 0.619 0.270
Y 0.970 0.881 0.770
Ge 0.300 0.602 0.990
Ge 0.300 0.898 0.490
Ge 0.700 0.102 0.510
Ge 0.700 0.398 0.010
O 0.105 0.120 0.917
O 0.105 0.380 0.417
O 0.108 0.646 0.974
O 0.108 0.854 0.474
O 0.281 0.069 0.286
O 0.281 0.431 0.786
O 0.364 0.073 0.671
O 0.364 0.427 0.171
O 0.402 0.688 0.491
O 0.402 0.812 0.991
O 0.598 0.188 0.009
O 0.598 0.312 0.509
O 0.636 0.573 0.829
O 0.636 0.927 0.329
O 0.719 0.569 0.214
O 0.719 0.931 0.714
O 0.892 0.146 0.526
O 0.892 0.354 0.026
O 0.895 0.620 0.583
O 0.895 0.880 0.083